(1)
An optimized crystal structure of CsY3Bi. Source: Alexandria via LeMat-Bulk, functional PBE-GGA.

CIF file:
```
data_CsY3Bi
_symmetry_space_group_name_H-M 'P m -3 m'
_symmetry_Int_Tables_number 221
_symmetry_space_group_name_Hall '-P 4 2 3'
_cell_length_a 5.631
_cell_length_b 5.631
_cell_length_c 5.631
_cell_angle_alpha 90.00
_cell_angle_beta 90.00
_cell_angle_gamma 90.00
loop_
_atom_site_label
_atom_site_fract_x
_atom_site_fract_y
_atom_site_fract_z
Cs1 0.000 0.000 0.000
Y1 0.000 0.000 0.500
Bi1 0.500 0.500 0.500
```

## Properties
- Excess energy over the best structure of this formula in the dataset: 359 kJ/mol of formula units

***

(2)
An optimized crystal structure of CsY3Bi. Source: Alexandria via LeMat-Bulk, functional PBE-GGA.

CIF file:
```
data_CsY3Bi
_symmetry_space_group_name_H-M 'P m -3 m'
_symmetry_Int_Tables_number 221
_symmetry_space_group_name_Hall '-P 4 2 3'
_cell_length_a 6.074
_cell_length_b 6.074
_cell_length_c 6.074
_cell_angle_alpha 90.00
_cell_angle_beta 90.00
_cell_angle_gamma 90.00
loop_
_atom_site_label
_atom_site_fract_x
_atom_site_fract_y
_atom_site_fract_z
Cs1 0.000 0.000 0.000
Y1 0.000 0.500 0.500
Bi1 0.500 0.500 0.500
```

## Properties
- Excess energy over the best structure of this formula in the dataset: 0 kJ/mol of formula units

***

(3)
An optimized crystal structure of Cs2YZnBi. Source: Alexandria via LeMat-Bulk, functional PBE-GGA.

CIF file:
```
data_Cs2YZnBi
_symmetry_space_group_name_H-M 'P 4/m m m'
_symmetry_Int_Tables_number 123
_symmetry_space_group_name_Hall '-P 4 2'
_cell_length_a 8.110
_cell_length_b 8.110
_cell_length_c 5.864
_cell_angle_alpha 90.00
_cell_angle_beta 90.00
_cell_angle_gamma 90.00
loop_
_atom_site_label
_atom_site_fract_x
_atom_site_fract_y
_atom_site_fract_z
Cs1 0.000 0.500 0.000
Y1 0.000 0.000 0.000
Zn1 0.500 0.500 0.500
Bi1 0.000 0.000 0.500
```

## Properties
- E: -0.087 hartree per atom

***

(4)
An optimized crystal structure of Cs2Zn2Bi. Source: Alexandria via LeMat-Bulk, functional PBE-GGA.

CIF file:
```
data_Cs2Zn2Bi
_symmetry_space_group_name_H-M 'P 4/m b m'
_symmetry_Int_Tables_number 127
_symmetry_space_group_name_Hall '-P 4 2ab'
_cell_length_a 10.808
_cell_length_b 10.808
_cell_length_c 3.647
_cell_angle_alpha 90.00
_cell_angle_beta 90.00
_cell_angle_gamma 90.00
loop_
_atom_site_label
_atom_site_fract_x
_atom_site_fract_y
_atom_site_fract_z
Cs1 0.199 0.301 0.000
Zn1 0.089 0.589 0.500
Bi1 0.000 0.000 0.000
```

## Properties
- Excess energy over the best structure of this formula in the dataset: 126 kJ/mol of formula units

***

(5)
An optimized crystal structure of Cs2ZnBi. Source: Alexandria via LeMat-Bulk, functional PBE-GGA.

CIF file:
```
data_Cs2ZnBi
_symmetry_space_group_name_H-M 'C m c m'
_symmetry_Int_Tables_number 63
_symmetry_space_group_name_Hall '-C 2c 2'
_cell_length_a 12.286
_cell_length_b 8.951
_cell_length_c 6.894
_cell_angle_alpha 90.00
_cell_angle_beta 90.00
_cell_angle_gamma 90.00
loop_
_atom_site_label
_atom_site_fract_x
_atom_site_fract_y
_atom_site_fract_z
Cs1 0.167 0.156 0.250
Zn1 0.000 0.500 0.000
Bi1 0.000 0.257 0.750
```

## Properties
- Excess energy over the best structure of this formula in the dataset: 0 kJ/mol of formula units

***

(6)
An optimized crystal structure of Cs2Zn2Bi. Source: Alexandria via LeMat-Bulk, functional PBE-GGA.

CIF file:
```
data_Cs2Zn2Bi
_symmetry_space_group_name_H-M 'I 4/m m m'
_symmetry_Int_Tables_number 139
_symmetry_space_group_name_Hall '-I 4 2'
_cell_length_a 3.822
_cell_length_b 3.822
_cell_length_c 25.409
_cell_angle_alpha 90.00
_cell_angle_beta 90.00
_cell_angle_gamma 90.00
loop_
_atom_site_label
_atom_site_fract_x
_atom_site_fract_y
_atom_site_fract_z
Cs1 0.000 0.000 0.112
Zn1 0.000 0.500 0.250
Bi1 0.000 0.000 0.500
```

## Properties
- Excess energy over the best structure of this formula in the dataset: 19 kJ/mol of formula units

***

(7)
An optimized crystal structure of CsZn3Bi. Source: Alexandria via LeMat-Bulk, functional PBE-GGA.

CIF file:
```
data_CsZn3Bi
_symmetry_space_group_name_H-M 'P m -3 m'
_symmetry_Int_Tables_number 221
_symmetry_space_group_name_Hall '-P 4 2 3'
_cell_length_a 6.662
_cell_length_b 6.662
_cell_length_c 6.662
_cell_angle_alpha 90.00
_cell_angle_beta 90.00
_cell_angle_gamma 90.00
loop_
_atom_site_label
_atom_site_fract_x
_atom_site_fract_y
_atom_site_fract_z
Cs1 0.000 0.000 0.000
Zn1 0.000 0.000 0.500
Bi1 0.500 0.500 0.500
```

## Properties
- Excess energy over the best structure of this formula in the dataset: 352 kJ/mol of formula units

***

(8)
An optimized crystal structure of Cs5Zn2Bi4. Source: Alexandria via LeMat-Bulk, functional PBE-GGA.

CIF file:
```
data_Cs5Zn2Bi4
_symmetry_space_group_name_H-M 'C 1 2/m 1'
_symmetry_Int_Tables_number 12
_cell_length_a 22.327
_cell_length_b 4.764
_cell_length_c 10.356
_cell_angle_alpha 90.00
_cell_angle_beta 96.03
_cell_angle_gamma 90.00
loop_
_symmetry_equiv_pos_as_xyz
'x,y,z'
'-x,-y,-z'
'-x,y,-z'
'x,-y,z'
'x+1/2,y+1/2,z'
'-x+1/2,-y+1/2,-z'
'-x+1/2,y+1/2,-z'
'x+1/2,-y+1/2,z'
loop_
_atom_site_label
_atom_site_fract_x
_atom_site_fract_y
_atom_site_fract_z
Cs1 0.000 0.000 0.000
Cs2 0.167 0.500 0.515
Cs3 0.168 0.500 0.918
Zn1 0.066 0.000 0.317
Bi1 0.000 0.500 0.349
Bi2 0.174 0.000 0.217
```

## Properties
- E: -0.082 hartree per atom

***

(9)
An optimized crystal structure of Cs3Zn2Bi4. Source: Alexandria via LeMat-Bulk, functional PBE-GGA.

CIF file:
```
data_Cs3Zn2Bi4
_symmetry_space_group_name_H-M 'C 1 2/c 1'
_symmetry_Int_Tables_number 15
_cell_length_a 16.168
_cell_length_b 12.314
_cell_length_c 8.376
_cell_angle_alpha 90.00
_cell_angle_beta 105.86
_cell_angle_gamma 90.00
loop_
_symmetry_equiv_pos_as_xyz
'x,y,z'
'-x,-y,-z'
'-x,y,-z+1/2'
'x,-y,z+1/2'
'x+1/2,y+1/2,z'
'-x+1/2,-y+1/2,-z'
'-x+1/2,y+1/2,-z+1/2'
'x+1/2,-y+1/2,z+1/2'
loop_
_atom_site_label
_atom_site_fract_x
_atom_site_fract_y
_atom_site_fract_z
Cs1 0.000 0.083 0.250
Cs2 0.121 0.371 0.562
Zn1 0.217 0.120 0.027
Bi1 0.141 0.311 0.096
Bi2 0.198 0.078 0.681
```

## Properties
- E: -0.092 hartree per atom

***

(10)
An optimized crystal structure of Cs2ZnBi. Source: Alexandria via LeMat-Bulk, functional PBE-GGA.

CIF file:
```
data_Cs2ZnBi
_symmetry_space_group_name_H-M 'F m -3 m'
_symmetry_Int_Tables_number 225
_symmetry_space_group_name_Hall '-F 4 2 3'
_cell_length_a 9.161
_cell_length_b 9.161
_cell_length_c 9.161
_cell_angle_alpha 90.00
_cell_angle_beta 90.00
_cell_angle_gamma 90.00
loop_
_atom_site_label
_atom_site_fract_x
_atom_site_fract_y
_atom_site_fract_z
Cs1 0.250 0.250 0.250
Zn1 0.000 0.000 0.000
Bi1 0.000 0.000 0.500
```

## Properties
- Excess energy over the best structure of this formula in the dataset: 59 kJ/mol of formula units

***

(11)
An optimized crystal structure of Cs3Zn2Bi2. Source: Alexandria via LeMat-Bulk, functional PBE-GGA.

CIF file:
```
data_Cs3Zn2Bi2
_symmetry_space_group_name_H-M 'P b c m'
_symmetry_Int_Tables_number 57
_cell_length_a 7.473
_cell_length_b 10.338
_cell_length_c 15.320
_cell_angle_alpha 90.00
_cell_angle_beta 90.00
_cell_angle_gamma 90.00
loop_
_symmetry_equiv_pos_as_xyz
'x,y,z'
'-x,-y,-z'
'-x,-y,z+1/2'
'x,y,-z+1/2'
'x,-y+1/2,-z'
'-x,y+1/2,z'
'-x,y+1/2,-z+1/2'
'x,-y+1/2,z+1/2'
loop_
_atom_site_label
_atom_site_fract_x
_atom_site_fract_y
_atom_site_fract_z
Cs1 0.112 0.128 0.105
Cs2 0.308 0.713 0.750
Zn1 0.402 0.019 0.582
Bi1 0.231 0.070 0.750
Bi2 0.407 0.750 0.000
```

## Properties
- E: -0.075 hartree per atom

***

(12)
An optimized crystal structure of Cs2Zn2Bi. Source: Alexandria via LeMat-Bulk, functional PBE-GGA.

CIF file:
```
data_Cs2Zn2Bi
_symmetry_space_group_name_H-M 'P 4/m b m'
_symmetry_Int_Tables_number 127
_symmetry_space_group_name_Hall '-P 4 2ab'
_cell_length_a 7.888
_cell_length_b 7.888
_cell_length_c 5.974
_cell_angle_alpha 90.00
_cell_angle_beta 90.00
_cell_angle_gamma 90.00
loop_
_atom_site_label
_atom_site_fract_x
_atom_site_fract_y
_atom_site_fract_z
Cs1 0.186 0.314 0.000
Zn1 0.120 0.620 0.500
Bi1 0.000 0.000 0.500
```

## Properties
- Excess energy over the best structure of this formula in the dataset: 0 kJ/mol of formula units

***

(13)
An optimized crystal structure of CsZnBi2. Source: Alexandria via LeMat-Bulk, functional PBE-GGA.

CIF file:
```
data_CsZnBi2
_symmetry_space_group_name_H-M 'P 1 21/c 1'
_symmetry_Int_Tables_number 14
_cell_length_a 9.439
_cell_length_b 10.039
_cell_length_c 6.831
_cell_angle_alpha 90.00
_cell_angle_beta 96.06
_cell_angle_gamma 90.00
loop_
_symmetry_equiv_pos_as_xyz
'x,y,z'
'-x,-y,-z'
'-x,y+1/2,-z+1/2'
'x,-y+1/2,z+1/2'
loop_
_atom_site_label
_atom_site_fract_x
_atom_site_fract_y
_atom_site_fract_z
Cs1 0.164 0.093 0.228
Zn1 0.432 0.536 0.142
Bi1 0.205 0.720 0.102
Bi2 0.497 0.162 0.937
```

## Properties
- E: -0.094 hartree per atom

***

(14)
An optimized crystal structure of CsZnBi2. Source: Alexandria via LeMat-Bulk, functional PBE-GGA.

CIF file:
```
data_CsZnBi2
_symmetry_space_group_name_H-M 'R -3 m'
_symmetry_Int_Tables_number 166
_symmetry_space_group_name_Hall '-R 3 2"'
_cell_length_a 5.1621
_cell_length_b 5.1621
_cell_length_c 21.3276
_cell_angle_alpha 90.00
_cell_angle_beta 90.00
_cell_angle_gamma 120.00
loop_
_atom_site_label
_atom_site_fract_x
_atom_site_fract_y
_atom_site_fract_z
Cs1 0.0000 0.0000 0.0000
Zn1 0.0000 0.0000 0.5000
Bi1 0.0000 0.0000 0.1989
```

## Properties
- E: -0.093 hartree per atom

***

(15)
An optimized crystal structure of Cs2ZnBi. Source: Alexandria via LeMat-Bulk, functional PBE-GGA.

CIF file:
```
data_Cs2ZnBi
_symmetry_space_group_name_H-M 'I -4 2 d'
_symmetry_Int_Tables_number 122
_symmetry_space_group_name_Hall 'I -4 2bw'
_cell_length_a 6.135
_cell_length_b 6.135
_cell_length_c 24.317
_cell_angle_alpha 90.00
_cell_angle_beta 90.00
_cell_angle_gamma 90.00
loop_
_atom_site_label
_atom_site_fract_x
_atom_site_fract_y
_atom_site_fract_z
Cs1 0.232 0.250 0.125
Zn1 0.000 0.000 0.000
Bi1 0.000 0.000 0.500
```

## Properties
- Excess energy over the best structure of this formula in the dataset: 147 kJ/mol of formula units

***

(16)
An optimized crystal structure of Cs2Zn2Bi. Source: Alexandria via LeMat-Bulk, functional PBE-GGA.

CIF file:
```
data_Cs2Zn2Bi
_symmetry_space_group_name_H-M 'I 4/m m m'
_symmetry_Int_Tables_number 139
_symmetry_space_group_name_Hall '-I 4 2'
_cell_length_a 7.101
_cell_length_b 7.101
_cell_length_c 8.453
_cell_angle_alpha 90.00
_cell_angle_beta 90.00
_cell_angle_gamma 90.00
loop_
_atom_site_label
_atom_site_fract_x
_atom_site_fract_y
_atom_site_fract_z
Cs1 0.000 0.500 0.250
Zn1 0.000 0.000 0.160
Bi1 0.000 0.000 0.500
```

## Properties
- Excess energy over the best structure of this formula in the dataset: 11 kJ/mol of formula units

***

(17)
An optimized crystal structure of CsZn3Bi. Source: Alexandria via LeMat-Bulk, functional PBE-GGA.

CIF file:
```
data_CsZn3Bi
_symmetry_space_group_name_H-M 'P m -3 m'
_symmetry_Int_Tables_number 221
_symmetry_space_group_name_Hall '-P 4 2 3'
_cell_length_a 5.763
_cell_length_b 5.763
_cell_length_c 5.763
_cell_angle_alpha 90.00
_cell_angle_beta 90.00
_cell_angle_gamma 90.00
loop_
_atom_site_label
_atom_site_fract_x
_atom_site_fract_y
_atom_site_fract_z
Cs1 0.000 0.000 0.000
Zn1 0.000 0.500 0.500
Bi1 0.500 0.500 0.500
```

## Properties
- Excess energy over the best structure of this formula in the dataset: 0 kJ/mol of formula units

***

(18)
An optimized crystal structure of CsZr2Bi2. Source: Alexandria via LeMat-Bulk, functional PBE-GGA.

CIF file:
```
data_CsZr2Bi2
_symmetry_space_group_name_H-M 'I 4/m m m'
_symmetry_Int_Tables_number 139
_symmetry_space_group_name_Hall '-I 4 2'
_cell_length_a 4.793
_cell_length_b 4.793
_cell_length_c 16.411
_cell_angle_alpha 90.00
_cell_angle_beta 90.00
_cell_angle_gamma 90.00
loop_
_atom_site_label
_atom_site_fract_x
_atom_site_fract_y
_atom_site_fract_z
Cs1 0.000 0.000 0.000
Zr1 0.000 0.500 0.250
Bi1 0.000 0.000 0.359
```

## Properties
- Excess energy over the best structure of this formula in the dataset: 0 kJ/mol of formula units

***

(19)
An optimized crystal structure of CsZrBi2. Source: Alexandria via LeMat-Bulk, functional PBE-GGA.

CIF file:
```
data_CsZrBi2
_symmetry_space_group_name_H-M 'R -3 m'
_symmetry_Int_Tables_number 166
_symmetry_space_group_name_Hall '-R 3 2"'
_cell_length_a 4.1261
_cell_length_b 4.1261
_cell_length_c 29.4810
_cell_angle_alpha 90.00
_cell_angle_beta 90.00
_cell_angle_gamma 120.00
loop_
_atom_site_label
_atom_site_fract_x
_atom_site_fract_y
_atom_site_fract_z
Cs1 0.0000 0.0000 0.0000
Zr1 0.0000 0.0000 0.5000
Bi1 0.0000 0.0000 0.2310
```

## Properties
- Excess energy over the best structure of this formula in the dataset: 2 kJ/mol of formula units

***

(20)
An optimized crystal structure of Cs2ZrBi2. Source: Alexandria via LeMat-Bulk, functional PBE-GGA.

CIF file:
```
data_Cs2ZrBi2
_symmetry_space_group_name_H-M 'P 4/m b m'
_symmetry_Int_Tables_number 127
_symmetry_space_group_name_Hall '-P 4 2ab'
_cell_length_a 7.978
_cell_length_b 7.978
_cell_length_c 6.623
_cell_angle_alpha 90.00
_cell_angle_beta 90.00
_cell_angle_gamma 90.00
loop_
_atom_site_label
_atom_site_fract_x
_atom_site_fract_y
_atom_site_fract_z
Cs1 0.168 0.332 0.000
Zr1 0.000 0.000 0.500
Bi1 0.149 0.649 0.500
```

## Properties
- Excess energy over the best structure of this formula in the dataset: 157 kJ/mol of formula units

***

Computed density (g cm⁻³) in order:
5.7; 4.5; 2.7; 4.7; 4.7; 5.4; 3.0; 4.9; 5.7; 4.7; 5.3; 5.4; 6.4; 6.2; 3.9; 4.7; 4.7; 6.5; 7.4; 6.1
Computed V (Å³ per cell) in order:
179; 224; 386; 426; 758; 371; 296; 1095; 1604; 769; 1184; 372; 644; 492; 915; 426; 191; 377; 435; 422